Record 1
Computed, not measured: a relaxed B5Pb2IO9 crystal at the PBE level of DFT.

a = 11.744 Å, b = 11.909 Å, c = 6.582 Å
α = 90.00°, β = 90.00°, γ = 90.00°
Atoms (fractional coordinates):
B (0.012, 0.245, 0.000)
B (0.183, 0.271, 0.776)
B (0.206, 0.179, 0.128)
B (0.212, 0.788, 0.943)
B (0.235, 0.956, 0.160)
B (0.265, 0.456, 0.660)
B (0.288, 0.288, 0.443)
B (0.294, 0.679, 0.628)
B (0.317, 0.771, 0.276)
B (0.488, 0.745, 0.500)
B (0.512, 0.255, 0.500)
B (0.683, 0.229, 0.276)
B (0.706, 0.321, 0.628)
B (0.712, 0.712, 0.443)
B (0.735, 0.544, 0.660)
B (0.765, 0.044, 0.160)
B (0.788, 0.212, 0.943)
B (0.794, 0.821, 0.128)
B (0.817, 0.729, 0.776)
B (0.988, 0.755, 0.000)
Pb (0.050, 0.760, 0.478)
Pb (0.233, 0.537, 0.127)
Pb (0.267, 0.037, 0.627)
Pb (0.450, 0.260, 0.978)
Pb (0.550, 0.740, 0.978)
Pb (0.733, 0.963, 0.627)
Pb (0.767, 0.463, 0.127)
Pb (0.950, 0.240, 0.478)
I (0.000, 0.000, 0.668)
I (0.000, 0.500, 0.399)
I (0.500, 0.000, 0.899)
I (0.500, 0.500, 0.168)
O (0.057, 0.278, 0.816)
O (0.082, 0.206, 0.153)
O (0.103, 0.745, 0.041)
O (0.195, 0.237, 0.563)
O (0.214, 0.914, 0.968)
O (0.220, 0.762, 0.729)
O (0.228, 0.067, 0.217)
O (0.235, 0.183, 0.907)
O (0.236, 0.382, 0.816)
O (0.264, 0.882, 0.316)
O (0.265, 0.683, 0.407)
O (0.272, 0.567, 0.717)
O (0.280, 0.262, 0.229)
O (0.286, 0.414, 0.468)
O (0.305, 0.737, 0.063)
O (0.397, 0.245, 0.541)
O (0.418, 0.706, 0.653)
O (0.443, 0.778, 0.316)
O (0.557, 0.222, 0.316)
O (0.582, 0.294, 0.653)
O (0.603, 0.755, 0.541)
O (0.695, 0.263, 0.063)
O (0.714, 0.586, 0.468)
O (0.720, 0.738, 0.229)
O (0.728, 0.433, 0.717)
O (0.735, 0.317, 0.407)
O (0.736, 0.118, 0.316)
O (0.764, 0.618, 0.816)
O (0.765, 0.817, 0.907)
O (0.772, 0.933, 0.217)
O (0.780, 0.238, 0.729)
O (0.786, 0.086, 0.968)
O (0.805, 0.763, 0.563)
O (0.897, 0.255, 0.041)
O (0.918, 0.794, 0.153)
O (0.943, 0.722, 0.816)

space group: No. 34
ΔE_f (raw): -2.090 eV/atom
electronic total energy: -7.21 eV/atom
V: 230.13 Å³/f.u.

=====

Record 2
Computed, not measured: a relaxed Cu2TcMo crystal at the PBE level of DFT.

a = 2.630 Å, b = 2.630 Å, c = 7.920 Å
α = 90.00°, β = 90.00°, γ = 90.00°
Atoms (fractional coordinates):
Cu (0.000, 0.000, 0.000)
Cu (0.500, 0.500, 0.223)
Tc (0.500, 0.500, 0.756)
Mo (0.000, 0.000, 0.474)

space group: No. 99
ΔH_f (0 K): 0.85 eV per formula unit
excess energy over the best structure of this formula in the dataset: 0.048 eV/atom
electronic total energy: -7.13 eV/atom
V: 54.77 Å³/f.u.

=====

Magnetization values, unit μB/cell, following the record order: 0.00 0.00.